i:
PmMgCdPb | PBE | optimized geometry

Results
Space-group type: F-43m, No. 216

Lattice parameters (Å, degrees): 5.305 5.305 5.305 60.00 60.00 60.00
Fractional coordinates of all 4 atoms:
1 Pm 0.000 0.000 0.000
2 Mg 0.500 0.500 0.500
3 Cd 0.250 0.250 0.250
4 Pb 0.750 0.750 0.750



ii:
PmMgCdPb | PBE | optimized geometry

Results
Space-group type: Pmmm, No. 47

Lattice parameters (Å, degrees): 4.513 4.694 4.925 90.00 90.00 90.00
Fractional coordinates of all 4 atoms:
1 Pm 0.000 0.000 0.000
2 Mg 0.000 0.500 0.500
3 Cd 0.500 0.000 0.500
4 Pb 0.500 0.500 0.000



Most stable = ii



i:
TbMgCdPb | PBE | optimized geometry

Results
Space-group type: F-43m, No. 216

Lattice parameters (Å, degrees): 5.249 5.249 5.249 60.00 60.00 60.00
Fractional coordinates of all 4 atoms:
1 Tb 0.000 0.000 0.000
2 Mg 0.500 0.500 0.500
3 Cd 0.750 0.750 0.750
4 Pb 0.250 0.250 0.250



ii:
TbMgCdPb | PBE | optimized geometry

Results
Space-group type: Pmmm, No. 47

Lattice parameters (Å, degrees): 4.418 4.654 4.895 90.00 90.00 90.00
Fractional coordinates of all 4 atoms:
1 Tb 0.000 0.000 0.000
2 Mg 0.000 0.500 0.500
3 Cd 0.500 0.000 0.500
4 Pb 0.500 0.500 0.000



Most stable = ii



i:
TmMgCdPb | PBE | optimized geometry

Results
Space-group type: F-43m, No. 216

Lattice parameters (Å, degrees): 5.210 5.210 5.210 60.00 60.00 60.00
Fractional coordinates of all 4 atoms:
1 Tm 0.000 0.000 0.000
2 Mg 0.500 0.500 0.500
3 Cd 0.750 0.750 0.750
4 Pb 0.250 0.250 0.250



ii:
TmMgCdPb | PBE | optimized geometry

Results
Space-group type: Pmmm, No. 47

Lattice parameters (Å, degrees): 4.325 4.654 4.890 90.00 90.00 90.00
Fractional coordinates of all 4 atoms:
1 Tm 0.000 0.000 0.000
2 Mg 0.000 0.500 0.500
3 Cd 0.500 0.000 0.500
4 Pb 0.500 0.500 0.000



Most stable = ii



i:
YMgCdPb | PBE | optimized geometry

Results
Space-group type: Pmmm, No. 47

Lattice parameters (Å, degrees): 4.410 4.650 4.893 90.00 90.00 90.00
Fractional coordinates of all 4 atoms:
1 Y 0.000 0.000 0.000
2 Mg 0.000 0.500 0.500
3 Cd 0.500 0.000 0.500
4 Pb 0.500 0.500 0.000



ii:
YMgCdPb | PBE | optimized geometry

Results
Space-group type: F-43m, No. 216

Lattice parameters (Å, degrees): 5.248 5.248 5.248 60.00 60.00 60.00
Fractional coordinates of all 4 atoms:
1 Y 0.000 0.000 0.000
2 Mg 0.500 0.500 0.500
3 Cd 0.250 0.250 0.250
4 Pb 0.750 0.750 0.750



Most stable = i



i:
Mg6CdPd | PBE | optimized geometry

Results
Space-group type: P-6m2, No. 187

Lattice parameters (Å, degrees): 6.190 6.190 4.838 90.00 90.00 120.00
Fractional coordinates of all 8 atoms:
1 Mg 0.017 0.508 0.000
2 Mg 0.331 0.166 0.500
3 Mg 0.492 0.508 0.000
4 Mg 0.492 0.983 0.000
5 Mg 0.834 0.166 0.500
6 Mg 0.834 0.669 0.500
7 Cd 0.000 0.000 0.000
8 Pd 0.333 0.667 0.500



ii:
Mg6CdPd | PBE | optimized geometry

Results
Space-group type: I4/mmm, No. 139

Lattice parameters (Å, degrees): 8.185 8.185 8.185 146.74 146.74 47.75
Fractional coordinates of all 8 atoms:
1 Mg 0.110 0.610 0.500
2 Mg 0.248 0.248 0.000
3 Mg 0.390 0.890 0.500
4 Mg 0.610 0.110 0.500
5 Mg 0.752 0.752 0.000
6 Mg 0.890 0.390 0.500
7 Cd 0.500 0.500 0.000
8 Pd 0.000 0.000 0.000



Most stable = i



i:
Mg2CdPd3 | PBE | optimized geometry

Results
Space-group type: P4/mmm, No. 123

Lattice parameters (Å, degrees): 3.105 3.105 10.294 90.00 90.00 90.00
Fractional coordinates of all 6 atoms:
1 Mg 0.000 0.000 0.162
2 Mg 0.000 0.000 0.838
3 Cd 0.000 0.000 0.500
4 Pd 0.500 0.500 0.000
5 Pd 0.500 0.500 0.320
6 Pd 0.500 0.500 0.680



ii:
Mg2CdPd3 | PBE | optimized geometry

Results
Space-group type: Cmmm, No. 65

Lattice parameters (Å, degrees): 6.873 6.873 3.524 90.00 90.00 143.29
Fractional coordinates of all 6 atoms:
1 Mg 0.166 0.834 0.000
2 Mg 0.834 0.166 0.000
3 Cd 0.500 0.500 0.000
4 Pd 0.000 0.000 0.500
5 Pd 0.329 0.671 0.500
6 Pd 0.671 0.329 0.500



Most stable = ii



i:
Mg8Cd2Pd | PBE | optimized geometry

Results
Space-group type: C2/m, No. 12

Lattice parameters (Å, degrees): 8.307 8.307 6.698 113.22 113.22 33.76
Fractional coordinates of all 11 atoms:
1 Mg 0.004 0.004 0.260
2 Mg 0.180 0.180 0.693
3 Mg 0.360 0.360 0.616
4 Mg 0.371 0.371 0.096
5 Mg 0.629 0.629 0.904
6 Mg 0.640 0.640 0.384
7 Mg 0.820 0.820 0.307
8 Mg 0.996 0.996 0.740
9 Cd 0.183 0.183 0.181
10 Cd 0.817 0.817 0.819
11 Pd 0.500 0.500 0.500



ii:
Mg8Cd2Pd | PBE | optimized geometry

Results
Space-group type: C2/m, No. 12

Lattice parameters (Å, degrees): 8.881 8.881 5.435 94.99 94.99 32.57
Fractional coordinates of all 11 atoms:
1 Mg 0.042 0.042 0.246
2 Mg 0.236 0.236 0.339
3 Mg 0.342 0.342 0.890
4 Mg 0.419 0.419 0.416
5 Mg 0.581 0.581 0.584
6 Mg 0.658 0.658 0.110
7 Mg 0.764 0.764 0.661
8 Mg 0.958 0.958 0.754
9 Cd 0.154 0.154 0.801
10 Cd 0.846 0.846 0.199
11 Pd 0.500 0.500 0.000



Most stable = i



i:
Mg4CdPd | PBE | optimized geometry

Results
Space-group type: C2/c, No. 15

Lattice parameters (Å, degrees): 7.328 7.328 5.534 100.59 100.59 114.30
Fractional coordinates of all 12 atoms:
1 Mg 0.072 0.716 0.944
2 Mg 0.199 0.372 0.642
3 Mg 0.284 0.928 0.556
4 Mg 0.372 0.199 0.142
5 Mg 0.628 0.801 0.858
6 Mg 0.716 0.072 0.444
7 Mg 0.801 0.628 0.358
8 Mg 0.928 0.284 0.056
9 Cd 0.381 0.619 0.250
10 Cd 0.619 0.381 0.750
11 Pd 0.002 0.998 0.750
12 Pd 0.998 0.002 0.250



ii:
Mg4CdPd | PBE | optimized geometry

Results
Space-group type: P4/mmm, No. 123

Lattice parameters (Å, degrees): 4.540 4.540 6.819 90.00 90.00 90.00
Fractional coordinates of all 6 atoms:
1 Mg 0.000 0.500 0.223
2 Mg 0.000 0.500 0.777
3 Mg 0.500 0.000 0.223
4 Mg 0.500 0.000 0.777
5 Cd 0.000 0.000 0.500
6 Pd 0.500 0.500 0.000



Most stable = i



i:
Mg5Cd2Pd | PBE | optimized geometry

Results
Space-group type: I4/mmm, No. 139

Lattice parameters (Å, degrees): 7.881 7.881 7.881 145.26 145.26 49.95
Fractional coordinates of all 8 atoms:
1 Mg 0.000 0.000 0.000
2 Mg 0.118 0.618 0.500
3 Mg 0.382 0.882 0.500
4 Mg 0.618 0.118 0.500
5 Mg 0.882 0.382 0.500
6 Cd 0.249 0.249 0.000
7 Cd 0.751 0.751 0.000
8 Pd 0.500 0.500 0.000



ii:
Mg5Cd2Pd | PBE | optimized geometry

Results
Space-group type: I4/mcm, No. 140

Lattice parameters (Å, degrees): 7.931 7.931 7.931 123.53 123.53 83.99
Fractional coordinates of all 16 atoms:
1 Mg 0.000 0.000 0.000
2 Mg 0.003 0.503 0.182
3 Mg 0.179 0.997 0.500
4 Mg 0.321 0.821 0.818
5 Mg 0.497 0.679 0.500
6 Mg 0.500 0.500 0.000
7 Mg 0.503 0.321 0.500
8 Mg 0.679 0.179 0.182
9 Mg 0.821 0.003 0.500
10 Mg 0.997 0.497 0.818
11 Cd 0.139 0.361 0.500
12 Cd 0.361 0.861 0.221
13 Cd 0.639 0.139 0.779
14 Cd 0.861 0.639 0.500
15 Pd 0.250 0.250 0.000
16 Pd 0.750 0.750 0.000



Most stable = i



i:
Mg2Cd5Pd | PBE | optimized geometry

Results
Space-group type: Pbam, No. 55

Lattice parameters (Å, degrees): 7.543 13.261 3.285 90.00 90.00 90.00
Fractional coordinates of all 16 atoms:
1 Mg 0.212 0.115 0.000
2 Mg 0.288 0.615 0.000
3 Mg 0.712 0.385 0.000
4 Mg 0.788 0.885 0.000
5 Cd 0.000 0.500 0.500
6 Cd 0.005 0.731 0.500
7 Cd 0.220 0.879 0.000
8 Cd 0.280 0.379 0.000
9 Cd 0.495 0.231 0.500
10 Cd 0.500 0.000 0.500
11 Cd 0.505 0.769 0.500
12 Cd 0.720 0.621 0.000
13 Cd 0.780 0.121 0.000
14 Cd 0.995 0.269 0.500
15 Pd 0.000 0.000 0.500
16 Pd 0.500 0.500 0.500



ii:
Mg2Cd5Pd | PBE | optimized geometry

Results
Space-group type: Pbam, No. 55

Lattice parameters (Å, degrees): 6.175 12.353 4.242 90.00 90.00 90.00
Fractional coordinates of all 16 atoms:
1 Mg 0.226 0.116 0.000
2 Mg 0.274 0.616 0.000
3 Mg 0.726 0.384 0.000
4 Mg 0.774 0.884 0.000
5 Cd 0.000 0.500 0.500
6 Cd 0.011 0.756 0.500
7 Cd 0.244 0.377 0.000
8 Cd 0.256 0.877 0.000
9 Cd 0.489 0.256 0.500
10 Cd 0.500 0.000 0.500
11 Cd 0.511 0.744 0.500
12 Cd 0.744 0.123 0.000
13 Cd 0.756 0.623 0.000
14 Cd 0.989 0.244 0.500
15 Pd 0.000 0.000 0.500
16 Pd 0.500 0.500 0.500



Most stable = i



i:
Mg3Cd4Pd | PBE | optimized geometry

Results
Space-group type: C2/m, No. 12

Lattice parameters (Å, degrees): 12.806 12.806 4.641 98.96 98.96 13.50
Fractional coordinates of all 8 atoms:
1 Mg 0.000 0.000 0.000
2 Mg 0.398 0.398 0.375
3 Mg 0.602 0.602 0.625
4 Cd 0.147 0.147 0.163
5 Cd 0.223 0.223 0.727
6 Cd 0.777 0.777 0.273
7 Cd 0.853 0.853 0.837
8 Pd 0.500 0.500 0.500



ii:
Mg3Cd4Pd | PBE | optimized geometry

Results
Space-group type: Immm, No. 71

Lattice parameters (Å, degrees): 7.241 7.241 7.241 145.84 118.83 71.96
Fractional coordinates of all 8 atoms:
1 Mg 0.000 0.000 0.000
2 Mg 0.365 0.865 0.500
3 Mg 0.635 0.135 0.500
4 Cd 0.056 0.353 0.703
5 Cd 0.349 0.647 0.703
6 Cd 0.651 0.353 0.297
7 Cd 0.944 0.647 0.297
8 Pd 0.500 0.500 0.000



Most stable = i



i:
Mg8Cd6Pd | PBE | optimized geometry

Results
Space-group type: R-3, No. 148

Lattice parameters (Å, degrees): 7.504 7.504 7.504 65.41 65.41 65.41
Fractional coordinates of all 15 atoms:
1 Mg 0.154 0.424 0.613
2 Mg 0.237 0.237 0.237
3 Mg 0.387 0.846 0.576
4 Mg 0.424 0.613 0.154
5 Mg 0.576 0.387 0.846
6 Mg 0.613 0.154 0.424
7 Mg 0.763 0.763 0.763
8 Mg 0.846 0.576 0.387
9 Cd 0.049 0.890 0.342
10 Cd 0.110 0.658 0.951
11 Cd 0.342 0.049 0.890
12 Cd 0.658 0.951 0.110
13 Cd 0.890 0.342 0.049
14 Cd 0.951 0.110 0.658
15 Pd 0.500 0.500 0.500



ii:
Mg8Cd6Pd | PBE | optimized geometry

Results
Space-group type: R-3, No. 148

Lattice parameters (Å, degrees): 7.536 7.536 7.536 66.51 66.51 66.51
Fractional coordinates of all 15 atoms:
1 Mg 0.075 0.374 0.697
2 Mg 0.161 0.161 0.161
3 Mg 0.303 0.925 0.626
4 Mg 0.374 0.697 0.075
5 Mg 0.626 0.303 0.925
6 Mg 0.697 0.075 0.374
7 Mg 0.839 0.839 0.839
8 Mg 0.925 0.626 0.303
9 Cd 0.115 0.779 0.455
10 Cd 0.221 0.545 0.885
11 Cd 0.455 0.115 0.779
12 Cd 0.545 0.885 0.221
13 Cd 0.779 0.455 0.115
14 Cd 0.885 0.221 0.545
15 Pd 0.500 0.500 0.500



Most stable = i